Rb2BaHg6: optimized geometry, PBE-GGA.

abc: 9.2581 9.2581 4.3832
angles: 90.00 90.00 120.00
Space group P6/mmm (No. 191)
One atom of each set of equivalent atoms:
1 Rb 0.3333 0.6667 0.0000 [2 per cell]
2 Ba 0.0000 0.0000 0.0000 [1 per cell]
3 Hg 0.0000 0.3327 0.5000 [6 per cell]

Computed properties:
Calculated formation energy ... -30.4 kJ/mol of atoms
Density ... 7.7 g/cm³